MgFeTeF2: optimized geometry, PBE with a Hubbard U.

Lattice parameters (Å, degrees): 3.9621 7.8346 3.9621 90.00 90.00 90.00
Site moments in Bohr magnetons follow the coordinates.
Atoms (fractional coordinates):
F1 0.0000 0.0000 0.5000  0.04
F2 0.5000 0.0000 0.0000  0.08
Te1 0.5000 0.5000 0.5000  0.00
Mg1 0.0000 0.5000 0.0000  0.00
Fe1 0.0000 0.0000 0.0000  3.83

Fermi-level density of states = 0.00 states/eV per atom
E = -4.336 eV per atom